## Mn2SiHg (SCAN)

Data for a crystal of Mn2SiHg relaxed with PBEsol.

Values from the calculation:
* crystal system: monoclinic

```
data_Mn2SiHg
_space_group_name_H-M_alt 'P 1 m 1'
_space_group_IT_number 6
_cell_length_a 2.769
_cell_length_b 4.085
_cell_length_c 5.085
_cell_angle_alpha 90.00
_cell_angle_beta 93.61
_cell_angle_gamma 90.00
loop_
_space_group_symop_operation_xyz
'x,y,z'
'x,-y,z'
loop_
_atom_site_label
_atom_site_type_symbol
_atom_site_fract_x
_atom_site_fract_y
_atom_site_fract_z
Mn1 Mn 0.000 0.000 0.000
Mn2 Mn 0.125 0.500 0.715
Si1 Si 0.591 0.500 0.114
Hg1 Hg 0.581 0.000 0.487
```

***

## MnSi2Hg (SCAN)

Data for a crystal of MnSi2Hg relaxed with PBEsol.

Values from the calculation:
* crystal system: monoclinic

```
data_MnSi2Hg
_space_group_name_H-M_alt 'C 1 m 1'
_space_group_IT_number 8
_cell_length_a 7.636
_cell_length_b 3.087
_cell_length_c 5.943
_cell_angle_alpha 90.00
_cell_angle_beta 120.62
_cell_angle_gamma 90.00
loop_
_space_group_symop_operation_xyz
'x,y,z'
'x,-y,z'
'x+1/2,y+1/2,z'
'x+1/2,-y+1/2,z'
loop_
_atom_site_label
_atom_site_type_symbol
_atom_site_fract_x
_atom_site_fract_y
_atom_site_fract_z
Mn1 Mn 0.000 0.000 0.000
Si1 Si 0.150 0.500 0.847
Si2 Si 0.380 0.000 0.186
Hg1 Hg 0.256 0.000 0.524
```

***

Number 1: calculated volume 57.4 Å³/cell, formation energy (no corrections) 0.08 eV per atom, D(E_F) 0.69 states/eV/atom. Number 2: calculated volume 120.5 Å³/cell, formation energy (no corrections) 0.21 eV per atom, D(E_F) 0.26 states/eV/atom.